No. 1
A relaxed structure of CdCu2O3, computed with GGA-PBE.

## Properties
**Energy**: -4.70 eV per atom
**Distance to the lowest polymorph of the same formula**: 0 meV/atom
**Calculated density**: 6.399 g/cm3
**SG**: No. 59
**Formation energy without anion corrections**: -0.699 eV/atom

a b c (Å): 4.0462 9.9331 3.7123
angles (deg): 90.00 90.00 90.00
Atoms (fractional coordinates):
Cd 0.2500 0.2500 0.1535
Cd 0.7500 0.7500 0.8465
Cu 0.2500 0.5867 0.3630
Cu 0.2500 0.9133 0.3630
Cu 0.7500 0.0867 0.6370
Cu 0.7500 0.4133 0.6370
O 0.2500 0.0835 0.6026
O 0.2500 0.4165 0.6026
O 0.2500 0.7500 0.0959
O 0.7500 0.2500 0.9041
O 0.7500 0.5835 0.3974
O 0.7500 0.9165 0.3974



No. 2
A relaxed structure of CdCuO2, computed with GGA-PBE.

## Properties
**Energy**: -4.39 eV per atom
**Calculated density**: 6.088 g/cm3
**SG**: No. 122
**Formation energy without anion corrections**: -0.660 eV/atom

a b c (Å): 4.8533 4.8533 9.6321
angles (deg): 90.00 90.00 90.00
Atoms (fractional coordinates):
Cd 0.0000 0.0000 0.0000
Cd 0.0000 0.5000 0.2500
Cd 0.5000 0.0000 0.7500
Cd 0.5000 0.5000 0.5000
Cu 0.0000 0.0000 0.5000
Cu 0.0000 0.5000 0.7500
Cu 0.5000 0.0000 0.2500
Cu 0.5000 0.5000 0.0000
O 0.2024 0.2500 0.6250
O 0.2500 0.7024 0.8750
O 0.2500 0.7976 0.3750
O 0.2976 0.2500 0.1250
O 0.7024 0.7500 0.1250
O 0.7500 0.2024 0.3750
O 0.7500 0.2976 0.8750
O 0.7976 0.7500 0.6250